The following is a DFT calculation (GGA+U) of a relaxed VRhO4 crystal.

Values from the calculation:
DFT total energy   -7.103 eV/atom
Space-group type   Pnc2

a = 4.9943 Å, b = 4.4530 Å, c = 5.6366 Å
α = 90.00°, β = 90.00°, γ = 90.00°
Fractional coordinates of all 12 atoms:
V1 0.0000 0.0000 0.0000
V2 0.0000 0.5000 0.5000
Rh1 0.5000 0.0000 0.6779
Rh2 0.5000 0.5000 0.1779
O1 0.1557 0.2391 0.7005
O2 0.1557 0.2609 0.2005
O3 0.3117 0.7247 0.4391
O4 0.3117 0.7753 0.9391
O5 0.6883 0.2247 0.9391
O6 0.6883 0.2753 0.4391
O7 0.8443 0.7391 0.2005
O8 0.8443 0.7609 0.7005